No. 1
# YSiNi

A PBEsol-optimized structure of YSiNi (SCAN, Alexandria).

Geometry as POSCAR:
```
YSiNi
1.0
-1.106 -1.618 3.623
6.530 -1.154 1.478
0.453 6.390 2.992
Y Si Ni
4 4 4
Cartesian
-0.631 0.696 3.630
2.589 -0.527 4.067
6.508 2.922 4.462
3.288 4.145 4.025
1.942 1.868 2.598
5.061 -0.777 2.368
3.935 1.750 5.495
0.817 4.395 5.724
4.900 3.708 6.664
4.393 1.469 3.168
0.977 -0.090 1.429
1.484 2.149 4.924
```

Output
Theoretical density (g/cm³): 5.90
Symmetry: Pnma, No. 62
Uncorrected energy (eV/cell): -226.30
Uncorrected formation energy (meV per atom): -848

---

No. 2
# LiMnFeF6

A PBEsol-optimized structure of LiMnFeF6 (SCAN, Alexandria).

Geometry as POSCAR:
```
LiMnFeF6
1.0
4.492 0.000 0.000
0.000 8.516 0.000
0.000 -4.258 7.375
F Fe Mn Li
18 3 3 3
Cartesian
3.302 1.372 3.926
3.257 2.774 1.620
1.109 7.053 0.803
3.383 0.037 1.669
3.302 -1.544 4.224
1.109 1.427 0.866
1.235 -1.484 5.756
3.383 2.795 6.573
3.383 -2.831 6.509
1.235 1.468 5.783
1.109 4.295 5.706
1.190 5.630 3.450
3.257 5.727 1.593
1.190 4.430 0.775
3.302 0.172 6.601
1.235 0.016 3.212
1.190 2.714 3.151
3.257 4.274 4.163
2.246 5.785 0.000
2.246 1.366 2.365
2.246 -2.893 5.010
0.000 2.954 0.000
0.000 2.781 4.818
0.000 -1.477 2.558
2.255 0.000 4.917
0.000 0.000 0.000
2.237 4.258 2.458
```

Output
Theoretical density (g/cm³): 4.09
Symmetry: P321, No. 150
Uncorrected energy (eV/cell): -253.46
Uncorrected formation energy (meV per atom): -2719

---

No. 3
# ScTl2Cd

A PBEsol-optimized structure of ScTl2Cd (SCAN, Alexandria).

Geometry as POSCAR:
```
ScTl2Cd
1.0
4.305 0.000 0.000
0.000 4.557 0.000
0.000 0.000 4.557
Tl Sc Cd
2 1 1
Cartesian
0.000 0.000 2.279
0.000 2.279 0.000
2.153 0.000 0.000
2.153 2.279 2.279
```

Output
Theoretical density (g/cm³): 10.51
Symmetry: P4/mmm, No. 123
Energy above the lowest structure with this stoichiometry (meV per atom): 0
Uncorrected energy (eV/cell): -190.35